Here is CsUVO6 after structural relaxation from the Alexandria database. Energies are from GGA+U.

CIF file:
```
data_CsUVO6
_cell_length_a 7.174
_cell_length_b 7.869
_cell_length_c 10.606
_cell_angle_alpha 90.00
_cell_angle_beta 90.00
_cell_angle_gamma 90.00
_space_group_name_H-M_alt 'I m m a'
_space_group_IT_number 74
_space_group_name_Hall '-I 2b 2'
loop_
_atom_site_label
_atom_site_type_symbol
_atom_site_fract_x
_atom_site_fract_y
_atom_site_fract_z
Cs1 Cs 0.000 0.250 0.112
U1 U 0.000 0.000 0.500
V1 V 0.250 0.250 0.750
O1 O 0.000 0.250 0.421
O2 O 0.000 0.250 0.795
O3 O 0.200 0.077 0.627
```

Summary:
- M_tot (μB/f.u.) = 0.0
- E above lowest polymorph (meV per atom) = 116.7
- uncorrected energy (eV per atom) = -7.913